(1)
Entry from the Alexandria database: a geometry-optimized LiZrCd2 structure (PBEsol).

## Properties
ΔE to the lowest computed polymorph: 71.2 meV/atom
E: -3.489 eV per atom
Symmetry: P4/mmm, No. 123
Formation energy: -126 meV per atom

The structure in POSCAR format:
```
LiZrCd2
1.0
4.919 0.000 0.000
0.000 4.919 0.000
0.000 0.000 3.327
Li Zr Cd
1 1 2
Cartesian
0.000 0.000 0.000 Li
2.460 2.460 0.000 Zr
0.000 2.460 1.664 Cd
2.460 0.000 1.664 Cd
```

(2)
Entry from the Alexandria database: a geometry-optimized Ca2Se structure (PBEsol).

## Properties
E_form (uncorrected): -1.1071 eV per atom
E: -3.813 eV per atom
Symmetry: Cmcm, No. 63

The structure in POSCAR format:
```
Ca2Se
1.0
1.858 -8.477 0.000
1.858 8.477 0.000
0.000 0.000 5.469
Ca Se
4 2
Cartesian
1.858 7.304 4.102 Ca
1.858 5.010 1.367 Ca
1.858 -5.010 4.102 Ca
1.858 -7.304 1.367 Ca
1.858 1.187 4.102 Se
1.858 -1.187 1.367 Se
```